BaPr2In | PBE | optimized geometry

Lattice parameters (Å, degrees): 5.421 5.421 7.155 67.74 67.74 60.00
Fractional positions:
Pr1 0.046 0.046 0.862
Pr2 0.279 0.279 0.163
Ba1 0.492 0.492 0.525
In1 0.683 0.683 0.950

Summary:
* total magnetization: 0.002 Bohr magnetons per cell
* total energy: -3.57 eV/atom
* D(E_F): 1.58 states/eV per atom
* polymorph energy (0 for the lowest one): 115.1 meV/atom
* energy relative to the elements: -0.015 eV/atom